(1)
A geometry-optimized TmLuTc4 structure, computed with GGA-PBE. Values from VASP.

Summary:
The spin magnetization is 0.000 μB per cell. The symmetry is No. 216.

```
&SYSTEM
  ibrav = 0, nat = 6, ntyp = 3
/
ATOMIC_SPECIES
Lu 174.97 Lu.upf
Tm 168.93 Tm.upf
Tc 98.00 Tc.upf
CELL_PARAMETERS angstrom
-3.4497 -1.0953 -3.9523
-4.9022 -1.8327 1.1533
-4.2805 3.1324 -0.7654
ATOMIC_POSITIONS angstrom
Lu 0.0000 0.0000 0.0000
Tm -3.1581 0.0511 -0.8911
Tc -5.7548 -1.4390 -1.8450
Tc -5.4438 1.0445 -2.8048
Tc -7.8958 0.1278 -2.2279
Tc -6.1703 0.6757 -0.2510
```



(2)
A geometry-optimized TmLuZnTc structure, computed with GGA-PBE. Values from VASP.

Summary:
The spin magnetization is 0.000 μB per cell. The symmetry is No. 216.

```
&SYSTEM
  ibrav = 0, nat = 4, ntyp = 4
/
ATOMIC_SPECIES
Zn 65.41 Zn.upf
Lu 174.97 Lu.upf
Tm 168.93 Tm.upf
Tc 98.00 Tc.upf
CELL_PARAMETERS angstrom
-3.1021 -1.0690 3.5639
-1.7141 -4.5087 0.4480
1.4288 -2.7777 3.7027
ATOMIC_POSITIONS angstrom
Zn 0.0000 0.0000 0.0000
Lu -2.5405 -6.2666 5.7860
Tm -0.8468 -2.0889 1.9287
Tc -1.6937 -4.1777 3.8573
```



(3)
A geometry-optimized LuU2Tc structure, computed with GGA-PBE. Values from VASP.

Summary:
The spin magnetization is 3.273 μB per cell. The symmetry is No. 166.

```
&SYSTEM
  ibrav = 0, nat = 4, ntyp = 3
/
ATOMIC_SPECIES
Lu 174.97 Lu.upf
U 238.03 U.upf
Tc 98.00 Tc.upf
CELL_PARAMETERS angstrom
-1.4102 2.5211 -1.2837
-2.9415 0.7744 0.8602
2.2305 6.9051 7.2187
ATOMIC_POSITIONS angstrom
Lu -1.0606 5.1003 3.3976
U -0.6524 2.3575 1.4546
U -1.4688 7.8431 5.3406
Tc 0.0000 0.0000 0.0000
```



(4)
A geometry-optimized LuVTc structure, computed with GGA-PBE. Values from VASP.

Summary:
The spin magnetization is 0.001 μB per cell. The symmetry is No. 107.

```
&SYSTEM
  ibrav = 0, nat = 3, ntyp = 3
/
ATOMIC_SPECIES
Lu 174.97 Lu.upf
Tc 98.00 Tc.upf
V 50.94 V.upf
CELL_PARAMETERS angstrom
3.1891 0.0000 0.0000
0.0000 3.1891 0.0000
-1.5946 -1.5946 5.2229
ATOMIC_POSITIONS angstrom
Lu 1.5946 1.5946 1.1723
Tc 1.5946 1.5946 4.4556
V 0.0000 0.0000 3.2510
```



(5)
A geometry-optimized LuVTc2 structure, computed with GGA-PBE. Values from VASP.

Summary:
The spin magnetization is 0.000 μB per cell. The symmetry is No. 123.

```
&SYSTEM
  ibrav = 0, nat = 4, ntyp = 3
/
ATOMIC_SPECIES
Lu 174.97 Lu.upf
Tc 98.00 Tc.upf
V 50.94 V.upf
CELL_PARAMETERS angstrom
-1.9910 2.4241 -0.1864
-2.1280 -1.8541 -1.3815
-2.4949 -1.5895 5.9762
ATOMIC_POSITIONS angstrom
Lu -3.3069 -0.5097 2.2041
Tc -1.9703 -1.2553 4.7196
Tc -0.5246 -0.3342 1.2566
V -2.0595 0.2850 -0.7840
```



(6)
A geometry-optimized LuVTc4 structure, computed with GGA-PBE. Values from VASP.

Summary:
The spin magnetization is 0.086 μB per cell. The symmetry is No. 216.

```
&SYSTEM
  ibrav = 0, nat = 6, ntyp = 3
/
ATOMIC_SPECIES
Lu 174.97 Lu.upf
Tc 98.00 Tc.upf
V 50.94 V.upf
CELL_PARAMETERS angstrom
5.2075 0.0000 0.0000
2.6037 4.5098 0.0000
2.6037 1.5033 4.2519
ATOMIC_POSITIONS angstrom
Lu 2.6037 1.5033 1.0630
Tc 5.2075 3.0065 0.5259
Tc 5.2075 1.4980 2.6593
Tc 6.5139 3.7608 2.6593
Tc 3.9010 3.7608 2.6593
V 0.0000 0.0000 0.0000
```



Energy in eV per atom, matching the order above: -8.63 -5.36 -9.00 -8.08 -8.73 -9.17